The following is a PBE-GGA calculation of TlVFeNi2 after structural relaxation, from Alexandria.

Values from the calculation:
Magnetic moment (μB/atom): 0.092
DOS at the Fermi energy (states/eV per cell): 3.73
Calculated formation energy (eV per atom): 0.94
Space group: P4/mmm, No. 123

a b c (Å): 4.4569 4.4569 4.2235
angles (deg): 90.00 90.00 90.00
Closest atoms and distances in Å follow each position.
Positions (direct):
Tl 0.0000 0.0000 0.0000  8 Ni 3.07, 4 Fe 3.15
V 0.5000 0.5000 0.5000  2 Fe 2.11, 4 Ni 2.23
Fe 0.5000 0.5000 0.0000  2 V 2.11
Ni 0.0000 0.5000 0.5000  2 V 2.23
Ni 0.5000 0.0000 0.5000  2 V 2.23

---

The following is a PBE-GGA calculation of SrSc2W after structural relaxation, from Alexandria.

Values from the calculation:
Magnetic moment (μB/atom): 0.000
DOS at the Fermi energy (states/eV per cell): 5.76
Calculated formation energy (eV per atom): 0.75
Distance to the lowest polymorph of the same formula (eV per formula unit): 1.54
Space group: Imm2, No. 44

a b c (Å): 6.0247 6.0247 6.0247
angles (deg): 141.28 132.58 62.82
Closest atoms and distances in Å follow each position.
Positions (direct):
Sr 0.0000 0.0000 0.0000  8 Sc 3.20-3.45, 4 W 3.32-3.48
Sc 0.4401 0.4401 0.0000  2 W 2.74
Sc 0.7263 0.2263 0.5000  4 W 3.16, 2 Sc 3.27, 4 Sr 3.36-3.45
W 0.2574 0.7574 0.5000  2 Sc 2.74

---

The following is a PBE-GGA calculation of CaFeTc2 after structural relaxation, from Alexandria.

Values from the calculation:
Magnetic moment (μB/atom): 0.535
DOS at the Fermi energy (states/eV per cell): 6.10
Calculated formation energy (eV per atom): 0.75
Distance to the lowest polymorph of the same formula (eV per formula unit): 1.53
Space group: I4/mmm, No. 139

a b c (Å): 5.3172 5.3172 5.3172
angles (deg): 138.41 138.41 60.27
Closest atoms and distances in Å follow each position.
Positions (direct):
Ca 0.0000 0.0000 0.0000  4 Fe 2.67, 8 Tc 2.97
Fe 0.5000 0.5000 0.0000  4 Ca 2.67, 8 Tc 2.97
Tc 0.2500 0.7500 0.5000  4 Tc 2.67, 4 Fe 2.97, 4 Ca 2.97
Tc 0.7500 0.2500 0.5000  4 Tc 2.67, 4 Fe 2.97, 4 Ca 2.97

---

The following is a PBE-GGA calculation of Pm2CdGe4Pt3 after structural relaxation, from Alexandria.

Values from the calculation:
Magnetic moment (μB/atom): 0.000
DOS at the Fermi energy (states/eV per cell): 3.44
Calculated formation energy (eV per atom): -0.80
Space group: P-4m2, No. 115

a b c (Å): 4.3035 4.3035 10.7419
angles (deg): 90.00 90.00 90.00
Closest atoms and distances in Å follow each position.
Positions (direct):
Pm 0.0000 0.5000 0.2466  8 Ge 3.25-3.41, 6 Pt 3.32-3.47, 2 Cd 3.47
Pm 0.5000 0.0000 0.7534  8 Ge 3.25-3.41, 6 Pt 3.32-3.47, 2 Cd 3.47
Cd 0.0000 0.0000 0.5000  4 Ge 2.68
Ge 0.0000 0.0000 0.0000  4 Pt 2.53
Ge 0.0000 0.5000 0.6484  3 Pt 2.45-2.68, 2 Cd 2.68
Ge 0.5000 0.0000 0.3516  3 Pt 2.45-2.68, 2 Cd 2.68
Ge 0.5000 0.5000 0.0000  4 Pt 2.53
Pt 0.0000 0.5000 0.8767  5 Ge 2.45-2.53
Pt 0.5000 0.0000 0.1233  5 Ge 2.45-2.53
Pt 0.5000 0.5000 0.5000  4 Ge 2.68